[1]
OsAuF3 (GGA-PBE, relaxed); excess energy over the best structure of this formula in the dataset = 756.1 meV/atom; DOS(E_F) = 7.28 states/eV/cell; E_form (uncorrected) = 0.51 eV per atom; V = 88.4 Å³ per cell; E = -3.52 eV per atom
1.0
4.4542 0.0000 0.0000
0.0000 4.4542 0.0000
0.0000 0.0000 4.4542
Os Au F
1 1 3
Direct
0.0000 0.0000 0.0000
0.5000 0.5000 0.5000
0.0000 0.5000 0.5000
0.5000 0.0000 0.5000
0.5000 0.5000 0.0000

***

[2]
ReC2 (GGA-PBE, relaxed); excess energy over the best structure of this formula in the dataset = 716.8 meV/atom; DOS(E_F) = 1.27 states/eV/cell; V = 28.7 Å³ per cell; E = -9.14 eV per atom; formation enthalpy at 0 K = 1.1567 eV/atom
1.0
2.6210 -2.1938 0.0000
2.6210 2.1938 0.0000
-0.4262 0.0000 2.4914
Re C
1 2
Direct
0.0000 0.0000 0.0000
0.4238 0.4238 0.2229
0.5762 0.5762 0.7771

***

[3]
ZnCu2Si (GGA-PBE, relaxed); DOS(E_F) = 1.30 states/eV/cell; E_form (uncorrected) = 0.04 eV per atom; V = 51.8 Å³ per cell; E = -3.69 eV per atom
1.0
-1.8377 1.8377 3.8382
1.8377 -1.8377 3.8382
1.8377 1.8377 -3.8382
Zn Cu Si
1 2 1
Direct
0.0000 0.0000 0.0000
0.2500 0.7500 0.5000
0.5000 0.5000 0.0000
0.7500 0.2500 0.5000

***

[4]
RhIF3 (GGA-PBE, relaxed); excess energy over the best structure of this formula in the dataset = 0.0 meV/atom; E_form (uncorrected) = -1.17 eV per atom; V = 187.0 Å³ per cell; E = -4.08 eV per atom
1.0
4.9961 0.0000 0.0000
-0.0780 5.5597 0.0000
-1.8764 -1.5659 6.7330
Rh I F
2 2 6
Direct
0.0000 0.0000 0.0000
0.4856 0.4875 0.9641
0.3095 0.0168 0.3664
0.5293 0.4824 0.6081
0.1334 0.6640 0.8947
0.2644 0.1578 0.8800
0.4219 0.5242 0.2308
0.7068 0.8229 0.0809
0.7362 0.9256 0.7263
0.8389 0.3270 0.0731

***

[5]
LaMnB2 (GGA-PBE, relaxed); DOS(E_F) = 2.66 states/eV/cell; V = 59.3 Å³ per cell; E = -6.18 eV per atom; formation enthalpy at 0 K = 0.6790 eV/atom
1.0
0.0000 3.0943 3.0943
3.0943 0.0000 3.0943
3.0943 3.0943 0.0000
La Mn B
1 1 2
Direct
0.0000 0.0000 0.0000
0.5000 0.5000 0.5000
0.2500 0.2500 0.2500
0.7500 0.7500 0.7500

***

[6]
Ac3Sm2Pb3 (GGA-PBE, relaxed); excess energy over the best structure of this formula in the dataset = 117.6 meV/atom; DOS(E_F) = 10.08 states/eV/cell; V = 283.0 Å³ per cell; E = -4.50 eV per atom; formation enthalpy at 0 K = -0.3888 eV/atom
1.0
-2.2861 2.6522 11.6700
2.2861 -2.6522 11.6700
2.2861 2.6522 -11.6700
Ac Sm Pb
3 2 3
Direct
0.0000 0.0000 0.0000
0.3791 0.8791 0.5000
0.6209 0.1209 0.5000
0.2458 0.2458 0.0000
0.7542 0.7542 0.0000
0.1438 0.6438 0.5000
0.5000 0.5000 0.0000
0.8562 0.3562 0.5000

***

[7]
SrI2NO (GGA-PBE, relaxed); excess energy over the best structure of this formula in the dataset = 259.1 meV/atom; DOS(E_F) = 4.09 states/eV/cell; E_form (uncorrected) = 0.44 eV per atom; V = 120.5 Å³ per cell; E = -3.18 eV per atom
1.0
5.1553 0.0000 0.0000
0.0000 5.1553 0.0000
0.0000 0.0000 4.5350
Sr I N O
1 2 1 1
Direct
0.0000 0.0000 0.0000
0.0000 0.5000 0.5000
0.5000 0.0000 0.5000
0.5000 0.5000 0.0000
0.5000 0.5000 0.5000

***

[8]
Cd2HgAu (GGA-PBE, relaxed); excess energy over the best structure of this formula in the dataset = 46.7 meV/atom; DOS(E_F) = 1.44 states/eV/cell; V = 84.5 Å³ per cell; E = -1.39 eV per atom; formation enthalpy at 0 K = -0.0351 eV/atom
1.0
-2.2671 2.2671 4.1088
2.2671 -2.2671 4.1088
2.2671 2.2671 -4.1088
Cd Hg Au
2 1 1
Direct
0.2500 0.7500 0.5000
0.7500 0.2500 0.5000
0.0000 0.0000 0.0000
0.5000 0.5000 0.0000